Entry 1:
Compound: Ca2Al2Tl
Source: Alexandria
Functional: PBE
Structure: optimized geometry

a b c (Å): 4.8515 4.8515 7.3176
angles (deg): 70.64 70.64 90.00
With the nearest neighbours (Å) after each atom.
Fractional coordinates of all 5 atoms:
Ca1 0.2500 0.7500 0.5000  4 Al 3.15, 4 Ca 3.43
Ca2 0.7500 0.2500 0.5000  4 Al 3.15, 4 Ca 3.43
Tl1 0.0000 0.0000 0.0000  8 Al 3.64, 8 Ca 4.04
Al1 0.5950 0.5950 0.8100  1 Al 2.46
Al2 0.4050 0.4050 0.1900  1 Al 2.46

Results
DFT formation energy: 0.152 eV/atom
D(E_F): 3.053 states/eV/cell
SG: No. 139
Crystal system: tetragonal
ΔE to the lowest computed polymorph: 7.17 kcal/mol of atoms



Entry 2:
Compound: Ca2AlTl
Source: Alexandria
Functional: PBE
Structure: optimized geometry

a b c (Å): 5.4226 5.4226 6.6291
angles (deg): 81.15 81.15 38.09
With the nearest neighbours (Å) after each atom.
Fractional coordinates of all 4 atoms:
Al1 0.2500 0.2500 0.2500  6 Ca 3.27-3.29, 2 Al 3.54
Ca1 0.9970 0.9970 0.0078  3 Al 3.27-3.29, 3 Tl 3.28-3.37, 2 Ca 3.54
Ca2 0.5030 0.5030 0.4922  3 Al 3.27-3.29, 3 Tl 3.28-3.37, 2 Ca 3.54
Tl1 0.7500 0.7500 0.7500  6 Ca 3.28-3.37, 2 Tl 3.54

Results
DFT formation energy: -0.112 eV/atom
D(E_F): 2.241 states/eV/cell
SG: No. 12
Crystal system: monoclinic
ΔE to the lowest computed polymorph: 4.33 kcal/mol of atoms



no.,final energy (eV/atom)
1,-2.6194
2,-2.6402